First-principles (PBE) data for Dy7Ho16Er6 after structural relaxation, as listed in Alexandria.

abc: 11.0094 11.0094 11.0094
angles: 60.00 60.00 60.00
Fractional positions:
Dy (0.0000, 0.0000, 0.0000)
Dy (0.5000, 0.0000, 0.5000)
Dy (0.0000, 0.5000, 0.0000)
Dy (0.0000, 0.5000, 0.5000)
Dy (0.5000, 0.0000, 0.0000)
Dy (0.0000, 0.0000, 0.5000)
Dy (0.5000, 0.5000, 0.0000)
Ho (0.8766, 0.8766, 0.3703)
Ho (0.8766, 0.8766, 0.8766)
Ho (0.8766, 0.3703, 0.8766)
Ho (0.3703, 0.8766, 0.8766)
Ho (0.1234, 0.1234, 0.1234)
Ho (0.1234, 0.1234, 0.6297)
Ho (0.1234, 0.6297, 0.1234)
Ho (0.6297, 0.1234, 0.1234)
Ho (0.6513, 0.6513, 0.0461)
Ho (0.6513, 0.6513, 0.6513)
Ho (0.6513, 0.0461, 0.6513)
Ho (0.0461, 0.6513, 0.6513)
Ho (0.3487, 0.3487, 0.3487)
Ho (0.3487, 0.3487, 0.9539)
Ho (0.3487, 0.9539, 0.3487)
Ho (0.9539, 0.3487, 0.3487)
Er (0.2745, 0.7255, 0.2745)
Er (0.7255, 0.2745, 0.7255)
Er (0.7255, 0.2745, 0.2745)
Er (0.2745, 0.7255, 0.7255)
Er (0.7255, 0.7255, 0.2745)
Er (0.2745, 0.2745, 0.7255)

space group: Fm-3m (225)
DOS at the Fermi energy: 55.782 states/eV/f.u.
E: -125.52 eV per cell
energy of formation from the pure elements: 0.252 eV per atom

---

First-principles (PBE) data for Dy6Ho6Er after structural relaxation, as listed in Alexandria.

abc: 6.5957 6.5958 11.2811
angles: 90.00 90.00 119.97
Fractional positions:
Dy (0.0000, 0.0000, 0.6547)
Dy (0.0000, 0.0000, 0.3453)
Dy (0.3334, 0.6666, 0.0000)
Dy (0.6666, 0.3334, 0.0000)
Dy (0.3331, 0.6669, 0.5000)
Dy (0.6669, 0.3331, 0.5000)
Ho (0.0000, 0.5000, 0.7567)
Ho (0.5000, 0.0000, 0.7567)
Ho (0.5000, 0.5000, 0.7564)
Ho (0.5000, 0.0000, 0.2433)
Ho (0.0000, 0.5000, 0.2433)
Ho (0.5000, 0.5000, 0.2436)
Er (0.0000, 0.0000, 0.0000)

space group: P6/mmm (191)
DOS at the Fermi energy: 24.533 states/eV/f.u.
E: -55.81 eV per cell
energy of formation from the pure elements: 0.295 eV per atom

---

First-principles (PBE) data for Dy2Ho7Er2 after structural relaxation, as listed in Alexandria.

abc: 8.5587 6.4279 6.4279
angles: 92.96 82.40 82.40
Fractional positions:
Dy (0.5000, 0.3232, 0.6768)
Dy (0.5000, 0.6768, 0.3232)
Ho (0.2088, 0.0809, 0.4471)
Ho (0.7912, 0.5529, 0.9191)
Ho (0.7912, 0.9191, 0.5529)
Ho (0.2088, 0.4471, 0.0809)
Ho (0.0000, 0.0000, 0.0000)
Ho (0.4081, 0.8482, 0.8482)
Ho (0.5919, 0.1518, 0.1518)
Er (0.8565, 0.3951, 0.3951)
Er (0.1435, 0.6049, 0.6049)

space group: C2/m (12)
DOS at the Fermi energy: 17.595 states/eV/f.u.
E: -49.11 eV per cell
energy of formation from the pure elements: 0.115 eV per atom

---

First-principles (PBE) data for Dy4Ho2Er after structural relaxation, as listed in Alexandria.

abc: 3.5539 3.5545 19.8540
angles: 89.99 90.00 120.00
Fractional positions:
Er (0.7140, 0.4280, 0.6658)
Ho (0.7151, 0.4302, 0.0964)
Ho (0.7141, 0.4282, 0.3814)
Dy (0.0484, 0.0968, 0.9532)
Dy (0.3806, 0.7611, 0.5244)
Dy (0.0480, 0.0959, 0.2385)
Dy (0.3813, 0.7625, 0.8084)

space group: Cm (8)
DOS at the Fermi energy: 9.666 states/eV/f.u.
E: -32.10 eV per cell
energy of formation from the pure elements: 0.004 eV per atom

---

First-principles (PBE) data for Dy5HoEr5 after structural relaxation, as listed in Alexandria.

abc: 6.8877 9.3763 8.0758
angles: 115.37 53.23 121.52
Fractional positions:
Dy (0.8527, 0.6417, 0.1564)
Dy (0.7475, 0.6538, 0.6756)
Dy (0.5000, 0.0000, 0.0000)
Dy (0.2525, 0.3462, 0.3244)
Dy (0.1473, 0.3583, 0.8436)
Ho (0.0000, 0.0000, 0.0000)
Er (0.6782, 0.2795, 0.3523)
Er (0.6604, 0.3118, 0.7904)
Er (0.0000, 0.0000, 0.5000)
Er (0.3396, 0.6882, 0.2096)
Er (0.3218, 0.7205, 0.6477)

space group: P-1 (2)
DOS at the Fermi energy: 16.230 states/eV/f.u.
E: -48.76 eV per cell
energy of formation from the pure elements: 0.149 eV per atom

---

First-principles (PBE) data for Dy3Ho3Er5 after structural relaxation, as listed in Alexandria.

abc: 5.4939 9.6191 9.6191
angles: 120.00 90.00 90.00
Fractional positions:
Dy (0.0000, 0.4634, 0.4634)
Dy (0.0000, 0.5366, 0.0000)
Dy (0.0000, 0.0000, 0.5366)
Ho (0.5000, 0.6382, 0.6382)
Ho (0.5000, 0.0000, 0.3618)
Ho (0.5000, 0.3618, 0.0000)
Er (0.5000, 0.3333, 0.6667)
Er (0.5000, 0.6667, 0.3333)
Er (0.5000, 0.2844, 0.2844)
Er (0.5000, 0.0000, 0.7156)
Er (0.5000, 0.7156, 0.0000)

space group: P-62m (189)
DOS at the Fermi energy: 15.021 states/eV/f.u.
E: -41.24 eV per cell
energy of formation from the pure elements: 0.829 eV per atom

---

First-principles (PBE) data for Dy4Ho11Er9 after structural relaxation, as listed in Alexandria.

abc: 3.6234 14.9181 14.9181
angles: 112.89 90.00 90.00
Fractional positions:
Dy (0.5000, 0.5539, 0.7558)
Dy (0.5000, 0.4461, 0.2442)
Dy (0.5000, 0.7558, 0.5539)
Dy (0.5000, 0.2442, 0.4461)
Ho (0.0000, 0.5930, 0.9553)
Ho (0.0000, 0.4070, 0.0447)
Ho (0.0000, 0.9553, 0.5930)
Ho (0.0000, 0.0447, 0.4070)
Ho (0.0000, 0.6332, 0.3668)
Ho (0.0000, 0.3668, 0.6332)
Ho (0.0000, 0.8405, 0.1595)
Ho (0.0000, 0.1595, 0.8405)
Ho (0.0000, 0.0000, 0.0000)
Ho (0.0000, 0.7083, 0.7083)
Ho (0.0000, 0.2917, 0.2917)
Er (0.5000, 0.6323, 0.1638)
Er (0.5000, 0.3677, 0.8362)
Er (0.5000, 0.1638, 0.6323)
Er (0.5000, 0.8362, 0.3677)
Er (0.5000, 0.7863, 0.9316)
Er (0.5000, 0.2137, 0.0684)
Er (0.5000, 0.9316, 0.7863)
Er (0.5000, 0.0684, 0.2137)
Er (0.5000, 0.5000, 0.5000)

space group: Cmmm (65)
DOS at the Fermi energy: 30.052 states/eV/f.u.
E: -108.59 eV per cell
energy of formation from the pure elements: 0.052 eV per atom

---

First-principles (PBE) data for Dy4Ho4Er3 after structural relaxation, as listed in Alexandria.

abc: 3.4844 5.5370 17.8824
angles: 81.06 84.40 90.00
Fractional positions:
Dy (0.5461, 0.5463, 0.9084)
Dy (0.4539, 0.4537, 0.0916)
Dy (0.3194, 0.8198, 0.3603)
Dy (0.6806, 0.1802, 0.6397)
Ho (0.5903, 0.0909, 0.8194)
Ho (0.2671, 0.2668, 0.4663)
Ho (0.7330, 0.7332, 0.5337)
Ho (0.4098, 0.9092, 0.1806)
Er (0.1368, 0.6367, 0.7268)
Er (0.8632, 0.3633, 0.2731)
Er (0.0000, 0.0000, 0.0000)

space group: P-1 (2)
DOS at the Fermi energy: 19.957 states/eV/f.u.
E: -49.76 eV per cell
energy of formation from the pure elements: 0.059 eV per atom

---

First-principles (PBE) data for Dy9Ho4Er11 after structural relaxation, as listed in Alexandria.

abc: 3.6299 14.9306 14.9306
angles: 112.93 90.00 90.00
Fractional positions:
Dy (0.5000, 0.6317, 0.1637)
Dy (0.5000, 0.3683, 0.8363)
Dy (0.5000, 0.1637, 0.6317)
Dy (0.5000, 0.8363, 0.3683)
Dy (0.5000, 0.7861, 0.9317)
Dy (0.5000, 0.2139, 0.0683)
Dy (0.5000, 0.9317, 0.7861)
Dy (0.5000, 0.0683, 0.2139)
Dy (0.5000, 0.5000, 0.5000)
Ho (0.5000, 0.5540, 0.7558)
Ho (0.5000, 0.4460, 0.2442)
Ho (0.5000, 0.7558, 0.5540)
Ho (0.5000, 0.2442, 0.4460)
Er (0.0000, 0.5931, 0.9552)
Er (0.0000, 0.4069, 0.0448)
Er (0.0000, 0.9552, 0.5931)
Er (0.0000, 0.0448, 0.4069)
Er (0.0000, 0.6331, 0.3669)
Er (0.0000, 0.3669, 0.6331)
Er (0.0000, 0.8402, 0.1598)
Er (0.0000, 0.1598, 0.8402)
Er (0.0000, 0.0000, 0.0000)
Er (0.0000, 0.7084, 0.7084)
Er (0.0000, 0.2916, 0.2916)

space group: Cmmm (65)
DOS at the Fermi energy: 29.408 states/eV/f.u.
E: -108.75 eV per cell
energy of formation from the pure elements: 0.049 eV per atom

---

First-principles (PBE) data for Dy3Ho5Er after structural relaxation, as listed in Alexandria.

abc: 9.1561 10.3963 7.1807
angles: 110.21 90.00 116.13
Fractional positions:
Dy (0.0000, 0.0000, 0.0000)
Dy (0.8112, 0.6246, 0.5623)
Dy (0.0000, 0.0000, 0.5000)
Dy (0.1888, 0.3754, 0.4377)
Dy (0.8134, 0.6246, 0.0623)
Dy (0.1866, 0.3754, 0.9377)
Ho (0.3039, 0.0000, 0.7500)
Ho (0.5200, 0.6767, 0.8399)
Ho (0.8433, 0.3232, 0.1633)
Ho (0.4800, 0.3233, 0.1601)
Ho (0.5200, 0.6768, 0.3367)
Ho (0.6961, 0.0000, 0.2500)
Ho (0.1568, 0.6767, 0.3399)
Ho (0.8432, 0.3233, 0.6601)
Ho (0.4800, 0.3232, 0.6633)
Ho (0.1567, 0.6768, 0.8367)
Er (0.6640, 0.0000, 0.7500)
Er (0.3360, 0.0000, 0.2500)

space group: Imma (74)
DOS at the Fermi energy: 12.117 states/eV/f.u.
E: -80.07 eV per cell
energy of formation from the pure elements: 0.136 eV per atom

---

First-principles (PBE) data for Dy3Ho2Er9 after structural relaxation, as listed in Alexandria.

abc: 6.1729 13.5662 10.3557
angles: 39.88 55.90 54.02
Fractional positions:
Dy (0.9029, 0.9293, 0.1051)
Dy (0.6261, 0.2857, 0.3317)
Dy (0.4034, 0.7346, 0.6308)
Ho (0.6373, 0.2975, 0.6604)
Ho (0.4299, 0.7000, 0.3375)
Er (0.0336, 0.5017, 0.4913)
Er (0.6985, 0.9329, 0.8382)
Er (0.2401, 0.1013, 0.1376)
Er (0.3999, 0.7044, 0.9834)
Er (0.6081, 0.2937, 0.0084)
Er (0.8177, 0.9020, 0.4930)
Er (0.1949, 0.0991, 0.5060)
Er (0.0134, 0.5035, 0.8268)
Er (0.9943, 0.5143, 0.1498)

space group: P1 (1)
DOS at the Fermi energy: 21.760 states/eV/f.u.
E: -62.46 eV per cell
energy of formation from the pure elements: 0.112 eV per atom

---

First-principles (PBE) data for DyHo12Er5 after structural relaxation, as listed in Alexandria.

abc: 6.0942 6.1089 17.2777
angles: 93.40 96.83 60.08
Fractional positions:
Dy (0.0003, 0.0000, 0.0000)
Ho (0.7749, 0.0000, 0.3340)
Ho (0.2249, 0.9999, 0.6661)
Ho (0.6122, 0.0000, 0.8323)
Ho (0.3879, 0.0001, 0.1676)
Ho (0.2792, 0.6666, 0.8324)
Ho (0.0544, 0.6666, 0.1676)
Ho (0.9457, 0.3334, 0.8323)
Ho (0.7210, 0.3335, 0.1676)
Ho (0.5584, 0.3334, 0.6661)
Ho (0.8919, 0.6666, 0.6661)
Ho (0.1080, 0.3334, 0.3340)
Ho (0.4414, 0.6667, 0.3340)
Er (0.4998, 0.9999, 0.5000)
Er (0.1664, 0.6668, 0.5000)
Er (0.8332, 0.3332, 0.5000)
Er (0.6670, 0.6667, 0.9999)
Er (0.3336, 0.3334, 0.9999)

space group: C2/m (12)
DOS at the Fermi energy: 23.044 states/eV/f.u.
E: -82.17 eV per cell
energy of formation from the pure elements: 0.010 eV per atom